#a
Below is an optimized crystal structure of Na2CuBiCl6, with properties calculated at the PBE-GGA level.

Lattice parameters (Å, degrees): 7.3341 7.3341 7.3341 60.00 60.00 60.00
Sites, in units of the cell vectors:
Na 0.7500 0.7500 0.7500
Na 0.2500 0.2500 0.2500
Cu 0.5000 0.5000 0.5000
Bi 0.0000 0.0000 0.0000
Cl 0.2614 0.7386 0.2614
Cl 0.7386 0.2614 0.2614
Cl 0.7386 0.2614 0.7386
Cl 0.2614 0.2614 0.7386
Cl 0.7386 0.7386 0.2614
Cl 0.2614 0.7386 0.7386

Values from the calculation:
Space-group type   No. 225
M_tot   0.000 μB/atom
V   27.9 A^3/atom


#b
Below is an optimized crystal structure of Na2CuBiCl6, with properties calculated at the PBE-GGA level.

Lattice parameters (Å, degrees): 6.7128 7.0629 10.4754 90.00 93.37 90.00
Sites, in units of the cell vectors:
Na 0.0396 0.9171 0.2366
Na 0.5396 0.5829 0.7366
Na 0.9604 0.0829 0.7634
Na 0.4604 0.4171 0.2634
Cu 0.5000 0.0000 0.5000
Cu 0.0000 0.5000 0.0000
Bi 0.5000 0.0000 0.0000
Bi 0.0000 0.5000 0.5000
Cl 0.2922 0.6828 0.0743
Cl 0.7922 0.8172 0.5743
Cl 0.7078 0.3172 0.9257
Cl 0.2078 0.1828 0.4257
Cl 0.3237 0.7096 0.4332
Cl 0.8237 0.7904 0.9332
Cl 0.6763 0.2904 0.5668
Cl 0.1763 0.2096 0.0668
Cl 0.8539 0.5543 0.2541
Cl 0.3539 0.9457 0.7541
Cl 0.1461 0.4457 0.7459
Cl 0.6461 0.0543 0.2459

Values from the calculation:
Space-group type   No. 14
M_tot   0.000 μB/atom
V   24.8 A^3/atom


Bottom line: #b, by a margin of 117 meV per atom.